Record 1
The following is a PBE calculation of crystalline Pr4Dy3Y2 at its relaxed geometry, from the Alexandria database.

a b c (Å): 5.133 8.107 14.944
angles (deg): 144.37 90.00 108.46
Sites, in units of the cell vectors:
1 Pr 0.888 0.775 0.665
2 Pr 0.112 0.225 0.335
3 Pr 0.335 0.671 0.001
4 Pr 0.665 0.329 0.999
5 Dy 0.558 0.116 0.667
6 Dy 0.442 0.884 0.333
7 Dy 0.000 0.000 0.000
8 Y 0.781 0.562 0.335
9 Y 0.219 0.438 0.665

Properties
Magnetization (μB/f.u.): 0.00
Energy of formation from the pure elements (meV/atom): 21
SG: C2/m
Density (g/cm³): 6.7

---

Record 2
The following is a PBE calculation of crystalline PrDy4Y2 at its relaxed geometry, from the Alexandria database.

a b c (Å): 6.313 6.761 11.208
angles (deg): 89.46 106.37 90.07
Sites, in units of the cell vectors:
1 Y 0.297 0.178 0.431
2 Y 0.415 0.252 0.000
3 Y 0.585 0.748 0.000
4 Y 0.703 0.822 0.569
5 Dy 0.989 0.391 0.144
6 Dy 0.272 0.963 0.713
7 Dy 0.438 0.466 0.712
8 Dy 0.728 0.037 0.287
9 Dy 0.130 0.675 0.429
10 Dy 0.870 0.325 0.571
11 Dy 0.011 0.609 0.856
12 Dy 0.562 0.534 0.288
13 Pr 0.844 0.111 0.855
14 Pr 0.156 0.889 0.145

Properties
Magnetization (μB/f.u.): 0.00
Energy of formation from the pure elements (meV/atom): 12
SG: P-1
Density (g/cm³): 7.0